Arrangement 1

This record from the Alexandria database describes PaPdRu after structural relaxation. The functional is PBE.

Geometry as CIF:
```
data_PaPdRu
_cell_length_a 4.9694
_cell_length_b 5.0865
_cell_length_c 5.0897
_cell_angle_alpha 92.15
_cell_angle_beta 94.49
_cell_angle_gamma 114.15
_symmetry_space_group_name_H-M 'P -1'
_symmetry_Int_Tables_number 2
loop_
_symmetry_equiv_pos_as_xyz
'x,y,z'
'-x,-y,-z'
loop_
_atom_site_label
_atom_site_type_symbol
_atom_site_fract_x
_atom_site_fract_y
_atom_site_fract_z
Pa1 Pa 0.0000 0.0000 0.0000
Pa2 Pa 0.0000 0.5000 0.5000
Pd1 Pd 0.3458 0.1770 0.5316
Ru1 Ru 0.2896 0.7038 0.9413
```

- ρ: 12.481 Mg/m³

Arrangement 2

This record from the Alexandria database describes PaPdRu after structural relaxation. The functional is PBE.

Geometry as CIF:
```
data_PaPdRu
_cell_length_a 4.8106
_cell_length_b 4.8106
_cell_length_c 5.5284
_cell_angle_alpha 90.00
_cell_angle_beta 90.00
_cell_angle_gamma 120.00
_symmetry_space_group_name_H-M 'P 63/m m c'
_symmetry_Int_Tables_number 194
_symmetry_space_group_name_Hall '-P 6c 2c'
loop_
_atom_site_label
_atom_site_type_symbol
_atom_site_fract_x
_atom_site_fract_y
_atom_site_fract_z
Pa1 Pa 0.3333 0.6667 0.2500
Pd1 Pd 0.0000 0.0000 0.0000
Ru1 Ru 0.3333 0.6667 0.7500
```

- ρ: 13.141 Mg/m³

Arrangement 3

This record from the Alexandria database describes PaPdRu after structural relaxation. The functional is PBE.

Geometry as CIF:
```
data_PaPdRu
_cell_length_a 4.4854
_cell_length_b 4.4854
_cell_length_c 3.3348
_cell_angle_alpha 90.00
_cell_angle_beta 90.00
_cell_angle_gamma 120.00
_symmetry_space_group_name_H-M 'P -6 m 2'
_symmetry_Int_Tables_number 187
_symmetry_space_group_name_Hall 'P -6 2'
loop_
_atom_site_label
_atom_site_type_symbol
_atom_site_fract_x
_atom_site_fract_y
_atom_site_fract_z
Pa1 Pa 0.0000 0.0000 0.0000
Pd1 Pd 0.3333 0.6667 0.5000
Ru1 Ru 0.6667 0.3333 0.5000
```

- ρ: 12.532 Mg/m³

Least stable structure: arrangement 3

Arrangement 1

This record from the Alexandria database describes PaPd2Ru after structural relaxation. The functional is PBE.

Geometry as CIF:
```
data_PaPd2Ru
_cell_length_a 3.9901
_cell_length_b 3.9901
_cell_length_c 4.3345
_cell_angle_alpha 90.00
_cell_angle_beta 90.00
_cell_angle_gamma 90.00
_symmetry_space_group_name_H-M 'P 4/m m m'
_symmetry_Int_Tables_number 123
_symmetry_space_group_name_Hall '-P 4 2'
loop_
_atom_site_label
_atom_site_type_symbol
_atom_site_fract_x
_atom_site_fract_y
_atom_site_fract_z
Pa1 Pa 0.0000 0.0000 0.0000
Pd1 Pd 0.0000 0.5000 0.5000
Ru1 Ru 0.5000 0.5000 0.0000
```

- ρ: 13.113 Mg/m³

Arrangement 2

This record from the Alexandria database describes PaPd2Ru after structural relaxation. The functional is PBE.

Geometry as CIF:
```
data_PaPd2Ru
_cell_length_a 6.5927
_cell_length_b 6.5927
_cell_length_c 6.5927
_cell_angle_alpha 90.00
_cell_angle_beta 90.00
_cell_angle_gamma 90.00
_symmetry_space_group_name_H-M 'F m -3 m'
_symmetry_Int_Tables_number 225
_symmetry_space_group_name_Hall '-F 4 2 3'
loop_
_atom_site_label
_atom_site_type_symbol
_atom_site_fract_x
_atom_site_fract_y
_atom_site_fract_z
Pa1 Pa 0.0000 0.0000 0.0000
Pd1 Pd 0.2500 0.2500 0.2500
Ru1 Ru 0.0000 0.0000 0.5000
```

- ρ: 12.632 Mg/m³

Least stable structure: arrangement 2

Arrangement 1

This record from the Alexandria database describes PaPdS3 after structural relaxation. The functional is PBE.

Geometry as CIF:
```
data_PaPdS3
_cell_length_a 3.8277
_cell_length_b 12.8390
_cell_length_c 8.6912
_cell_angle_alpha 90.00
_cell_angle_beta 90.00
_cell_angle_gamma 90.00
_symmetry_space_group_name_H-M 'C m c m'
_symmetry_Int_Tables_number 63
_symmetry_space_group_name_Hall '-C 2c 2'
loop_
_atom_site_label
_atom_site_type_symbol
_atom_site_fract_x
_atom_site_fract_y
_atom_site_fract_z
Pa1 Pa 0.0000 0.2344 0.2500
Pd1 Pd 0.0000 0.0254 0.7500
S1 S 0.0000 0.1672 0.5736
S2 S 0.0000 0.4124 0.7500
```

- ρ: 6.744 Mg/m³

Arrangement 2

This record from the Alexandria database describes PaPdS3 after structural relaxation. The functional is PBE.

Geometry as CIF:
```
data_PaPdS3
_cell_length_a 7.2778
_cell_length_b 7.6496
_cell_length_c 8.5417
_cell_angle_alpha 90.00
_cell_angle_beta 108.42
_cell_angle_gamma 90.00
_symmetry_space_group_name_H-M 'P 1 21/c 1'
_symmetry_Int_Tables_number 14
loop_
_symmetry_equiv_pos_as_xyz
'x,y,z'
'-x,-y,-z'
'-x,y+1/2,-z+1/2'
'x,-y+1/2,z+1/2'
loop_
_atom_site_label
_atom_site_type_symbol
_atom_site_fract_x
_atom_site_fract_y
_atom_site_fract_z
Pa1 Pa 0.2258 0.1218 0.4200
Pd1 Pd 0.0914 0.6933 0.4389
S1 S 0.1117 0.0665 0.7015
S2 S 0.2268 0.0691 0.1031
S3 S 0.4000 0.6834 0.9971
```

- ρ: 6.384 Mg/m³

Least stable structure: arrangement 1